# 1
NdSi12Ir4 | Alexandria via LeMat-Bulk | GGA-PBE | relaxed; E = -6.51 eV per atom; V = 17.17 A^3/atom; Fermi-level density of states = 0.61 states/eV per atom
1.0
-4.179 4.179 4.179
4.179 -4.179 4.179
4.179 4.179 -4.179
Nd Si Ir
1 12 4
direct
0.000 0.000 0.000
0.151 0.506 0.355
0.151 0.796 0.645
0.204 0.355 0.849
0.355 0.151 0.506
0.355 0.849 0.204
0.494 0.645 0.849
0.506 0.355 0.151
0.645 0.151 0.796
0.645 0.849 0.494
0.796 0.645 0.151
0.849 0.204 0.355
0.849 0.494 0.645
0.000 0.000 0.500
0.000 0.500 0.000
0.500 0.000 0.000
0.500 0.500 0.500

# 2
NdSi7Ir3 | Alexandria via LeMat-Bulk | GGA-PBE | relaxed; E = -6.99 eV per atom; V = 15.74 A^3/atom; Fermi-level density of states = 0.02 states/eV per atom
1.0
3.839 2.217 6.784
-3.839 2.217 6.784
0.000 -4.433 6.784
Nd Si Ir
2 14 6
direct
0.000 0.000 0.000
0.500 0.500 0.500
0.063 0.851 0.673
0.149 0.327 0.937
0.173 0.351 0.563
0.250 0.250 0.250
0.327 0.937 0.149
0.351 0.563 0.173
0.437 0.827 0.649
0.563 0.173 0.351
0.649 0.437 0.827
0.673 0.063 0.851
0.750 0.750 0.750
0.827 0.649 0.437
0.851 0.673 0.063
0.937 0.149 0.327
0.068 0.750 0.432
0.250 0.568 0.932
0.432 0.068 0.750
0.568 0.932 0.250
0.750 0.432 0.068
0.932 0.250 0.568

# 3
NdSi2Ir2 | Alexandria via LeMat-Bulk | GGA-PBE | relaxed; E = -7.72 eV per atom; V = 17.27 A^3/atom; Fermi-level density of states = 0.43 states/eV per atom
1.0
0.000 2.911 5.096
2.911 0.000 5.096
2.911 2.911 0.000
Nd Si Ir
1 2 2
direct
0.000 0.000 0.000
0.376 0.376 0.624
0.624 0.624 0.376
0.250 0.250 0.250
0.750 0.750 0.750

# 4
Nd2Si3Ir | Alexandria via LeMat-Bulk | GGA-PBE | relaxed; E = -6.66 eV per atom; V = 20.88 A^3/atom; Fermi-level density of states = 0.37 states/eV per atom
1.0
0.000 4.246 7.136
4.134 0.000 7.136
4.134 4.246 0.000
Nd Si Ir
4 6 2
direct
0.249 0.751 0.249
0.250 0.250 0.250
0.750 0.750 0.750
0.751 0.249 0.751
0.166 0.666 0.834
0.333 0.333 0.667
0.334 0.834 0.666
0.666 0.166 0.334
0.667 0.667 0.333
0.834 0.334 0.166
0.166 0.166 0.834
0.834 0.834 0.166

# 5
NdSi2Ir5 | Alexandria via LeMat-Bulk | GGA-PBE | relaxed; E = -8.16 eV per atom; V = 16.35 A^3/atom; Fermi-level density of states = 0.85 states/eV per atom
1.0
3.915 0.000 0.000
0.000 6.923 0.000
0.000 0.000 9.649
Nd Si Ir
2 4 10
direct
0.000 0.000 0.000
0.500 0.500 0.500
0.000 0.500 0.244
0.000 0.500 0.756
0.500 0.000 0.256
0.500 0.000 0.744
0.000 0.199 0.355
0.000 0.199 0.645
0.000 0.500 0.000
0.000 0.801 0.355
0.000 0.801 0.645
0.500 0.000 0.500
0.500 0.301 0.145
0.500 0.301 0.855
0.500 0.699 0.145
0.500 0.699 0.855

# 6
NdSi2Ir3 | Alexandria via LeMat-Bulk | GGA-PBE | relaxed; E = -7.91 eV per atom; V = 16.81 A^3/atom; Fermi-level density of states = 0.47 states/eV per atom
1.0
8.031 -2.010 0.000
8.031 2.010 0.000
-3.053 0.000 9.372
Nd Si Ir
3 6 9
direct
0.000 0.000 0.000
0.158 0.158 0.700
0.842 0.842 0.300
0.198 0.198 0.129
0.362 0.362 0.552
0.467 0.467 0.224
0.533 0.533 0.776
0.638 0.638 0.448
0.802 0.802 0.871
0.043 0.043 0.333
0.220 0.220 0.394
0.325 0.325 0.042
0.375 0.375 0.798
0.500 0.500 0.500
0.625 0.625 0.202
0.675 0.675 0.958
0.780 0.780 0.606
0.957 0.957 0.667

# 7
Nd3SiIr3 | Alexandria via LeMat-Bulk | GGA-PBE | relaxed; E = -7.38 eV per atom; V = 22.15 A^3/atom; Fermi-level density of states = 0.46 states/eV per atom
1.0
5.339 -2.063 0.000
5.339 2.063 0.000
-4.901 0.000 14.077
Nd Si Ir
6 2 6
direct
0.014 0.014 0.381
0.109 0.109 0.926
0.243 0.243 0.223
0.757 0.757 0.777
0.891 0.891 0.074
0.986 0.986 0.619
0.272 0.272 0.610
0.728 0.728 0.390
0.326 0.326 0.460
0.384 0.384 0.923
0.456 0.456 0.760
0.544 0.544 0.240
0.616 0.616 0.077
0.674 0.674 0.540

# 8
NdSi3Ir | Alexandria via LeMat-Bulk | GGA-PBE | relaxed; E = -6.65 eV per atom; V = 19.21 A^3/atom; Fermi-level density of states = 0.34 states/eV per atom
1.0
5.919 0.000 0.000
0.000 5.658 0.000
0.000 0.000 5.736
Nd Si Ir
2 6 2
direct
0.000 0.141 0.000
0.500 0.859 0.500
0.000 0.954 0.513
0.214 0.328 0.493
0.286 0.672 0.993
0.500 0.046 0.013
0.714 0.672 0.993
0.786 0.328 0.493
0.000 0.619 0.275
0.500 0.381 0.775